Entry 1:
## BaCd2GaAg4 (PBE-GGA)

Data for an optimized crystal structure of BaCd2GaAg4.

Calculated values
The density of states at the Fermi level is 4.15 states/eV per cell. The value obtained for the formation energy is -9.30 kJ per mole of atoms.

a b c (Å): 9.985 9.985 9.985
angles (deg): 27.78 27.78 27.78
Positions (direct):
Ba (0.000, 0.000, 0.000)
Cd (0.242, 0.242, 0.242)
Cd (0.758, 0.758, 0.758)
Ga (0.500, 0.500, 0.500)
Ag (0.137, 0.137, 0.137)
Ag (0.408, 0.408, 0.408)
Ag (0.592, 0.592, 0.592)
Ag (0.863, 0.863, 0.863)

=====

Entry 2:
## CsSrSb2Te (PBE-GGA)

Data for an optimized crystal structure of CsSrSb2Te.

Calculated values
The density of states at the Fermi level is 6.52 states/eV per cell. For the formation energy (no corrections), the calculation gives 2.90 eV per formula unit. For the energy above the most stable polymorph in this dataset, the calculation gives 0.643 eV/atom.

a b c (Å): 6.118 6.118 6.375
angles (deg): 90.00 90.00 90.00
Positions (direct):
Cs (0.000, 0.000, 0.000)
Sr (0.500, 0.500, 0.500)
Sb (0.000, 0.500, 0.000)
Sb (0.500, 0.000, 0.000)
Te (0.000, 0.000, 0.500)

=====

Entry 3:
## EuHoNiPd (PBE-GGA)

Data for an optimized crystal structure of EuHoNiPd.

Calculated values
The density of states at the Fermi level is 35.12 states/eV per cell. The value obtained for the formation energy is -43.95 kJ per mole of atoms.

a b c (Å): 6.986 6.986 6.986
angles (deg): 90.00 90.00 90.00
Positions (direct):
Eu (0.000, 0.000, 0.000)
Eu (0.000, 0.500, 0.500)
Eu (0.500, 0.000, 0.500)
Eu (0.500, 0.500, 0.000)
Ho (0.000, 0.000, 0.500)
Ho (0.000, 0.500, 0.000)
Ho (0.500, 0.000, 0.000)
Ho (0.500, 0.500, 0.500)
Ni (0.250, 0.250, 0.750)
Ni (0.250, 0.750, 0.250)
Ni (0.750, 0.250, 0.250)
Ni (0.750, 0.750, 0.750)
Pd (0.250, 0.250, 0.250)
Pd (0.250, 0.750, 0.750)
Pd (0.750, 0.250, 0.750)
Pd (0.750, 0.750, 0.250)

=====

Entry 4:
## TbCe3Dy2N6 (PBE-GGA)

Data for an optimized crystal structure of TbCe3Dy2N6.

Calculated values
The density of states at the Fermi level is 7.29 states/eV per cell. For the formation energy (no corrections), the calculation gives -19.08 eV per formula unit.

a b c (Å): 6.104 6.104 6.107
angles (deg): 99.59 99.59 119.99
Positions (direct):
Tb (0.000, 0.000, 0.000)
Ce (0.167, 0.833, 0.500)
Ce (0.500, 0.500, 0.500)
Ce (0.833, 0.167, 0.500)
Dy (0.333, 0.667, 0.000)
Dy (0.667, 0.333, 0.000)
N (0.083, 0.418, 0.249)
N (0.252, 0.252, 0.751)
N (0.418, 0.083, 0.249)
N (0.582, 0.917, 0.751)
N (0.748, 0.748, 0.249)
N (0.917, 0.582, 0.751)

=====

Entry 5:
## ScInBr2 (PBE-GGA)

Data for an optimized crystal structure of ScInBr2.

Calculated values
The density of states at the Fermi level is 10.99 states/eV per cell. For the formation energy (no corrections), the calculation gives -3.83 eV per formula unit. For the energy above the most stable polymorph in this dataset, the calculation gives 0.026 eV/atom.

a b c (Å): 3.620 3.620 30.874
angles (deg): 90.00 90.00 120.00
Positions (direct):
Sc (0.000, 0.000, 0.000)
Sc (0.333, 0.667, 0.667)
Sc (0.667, 0.333, 0.333)
In (0.000, 0.000, 0.500)
In (0.333, 0.667, 0.167)
In (0.667, 0.333, 0.833)
Br (0.000, 0.000, 0.276)
Br (0.000, 0.000, 0.724)
Br (0.333, 0.667, 0.390)
Br (0.333, 0.667, 0.943)
Br (0.667, 0.333, 0.057)
Br (0.667, 0.333, 0.610)

=====

Entry 6:
## KNa2ZrP (PBE-GGA)

Data for an optimized crystal structure of KNa2ZrP.

Calculated values
The density of states at the Fermi level is 3.78 states/eV per cell. The value obtained for the formation energy is 133.89 kJ per mole of atoms.

a b c (Å): 4.966 4.966 6.045
angles (deg): 90.00 90.00 90.00
Positions (direct):
K (0.000, 0.000, 0.000)
Na (0.000, 0.500, 0.000)
Na (0.500, 0.000, 0.000)
Zr (0.000, 0.000, 0.500)
P (0.500, 0.500, 0.500)

=====

Entry 7:
## Rb2NaHf (PBE-GGA)

Data for an optimized crystal structure of Rb2NaHf.

Calculated values
The density of states at the Fermi level is 8.14 states/eV per cell. For the energy above the most stable polymorph in this dataset, the calculation gives 0.000 eV/atom. The value obtained for the formation energy is 111.44 kJ per mole of atoms.

a b c (Å): 9.236 9.236 9.236
angles (deg): 90.00 90.00 90.00
Positions (direct):
Rb (0.250, 0.250, 0.250)
Rb (0.250, 0.250, 0.750)
Rb (0.250, 0.750, 0.250)
Rb (0.250, 0.750, 0.750)
Rb (0.750, 0.250, 0.250)
Rb (0.750, 0.250, 0.750)
Rb (0.750, 0.750, 0.250)
Rb (0.750, 0.750, 0.750)
Na (0.000, 0.000, 0.000)
Na (0.000, 0.500, 0.500)
Na (0.500, 0.000, 0.500)
Na (0.500, 0.500, 0.000)
Hf (0.000, 0.000, 0.500)
Hf (0.000, 0.500, 0.000)
Hf (0.500, 0.000, 0.000)
Hf (0.500, 0.500, 0.500)

=====

Entry 8:
## CeThGaRu (PBE-GGA)

Data for an optimized crystal structure of CeThGaRu.

Calculated values
The density of states at the Fermi level is 25.65 states/eV per cell. The value obtained for the formation energy is -25.50 kJ per mole of atoms.

a b c (Å): 6.951 6.951 6.951
angles (deg): 90.00 90.00 90.00
Positions (direct):
Ce (0.000, 0.000, 0.000)
Ce (0.000, 0.500, 0.500)
Ce (0.500, 0.000, 0.500)
Ce (0.500, 0.500, 0.000)
Th (0.250, 0.250, 0.250)
Th (0.250, 0.750, 0.750)
Th (0.750, 0.250, 0.750)
Th (0.750, 0.750, 0.250)
Ga (0.250, 0.250, 0.750)
Ga (0.250, 0.750, 0.250)
Ga (0.750, 0.250, 0.250)
Ga (0.750, 0.750, 0.750)
Ru (0.000, 0.000, 0.500)
Ru (0.000, 0.500, 0.000)
Ru (0.500, 0.000, 0.000)
Ru (0.500, 0.500, 0.500)

=====

Entry 9:
## HgSeN2O (PBE-GGA)

Data for an optimized crystal structure of HgSeN2O.

Calculated values
The density of states at the Fermi level is 4.48 states/eV per cell. For the formation energy (no corrections), the calculation gives 6.84 eV per formula unit.

a b c (Å): 4.003 4.003 3.852
angles (deg): 90.00 90.00 90.00
Positions (direct):
Hg (0.000, 0.000, 0.000)
Se (0.500, 0.500, 0.500)
N (0.000, 0.500, 0.500)
N (0.500, 0.000, 0.500)
O (0.500, 0.500, 0.000)

=====

Entry 10:
## Ti5NbSb3 (PBE-GGA)

Data for an optimized crystal structure of Ti5NbSb3.

Calculated values
The density of states at the Fermi level is 16.03 states/eV per cell. For the formation energy (no corrections), the calculation gives 0.44 eV per formula unit.

a b c (Å): 9.148 9.148 9.148
angles (deg): 136.38 136.38 63.40
Positions (direct):
Ti (0.000, 0.000, 0.000)
Ti (0.047, 0.547, 0.853)
Ti (0.194, 0.047, 0.500)
Ti (0.306, 0.806, 0.853)
Ti (0.453, 0.306, 0.500)
Ti (0.500, 0.500, 0.000)
Ti (0.547, 0.694, 0.500)
Ti (0.694, 0.194, 0.147)
Ti (0.806, 0.953, 0.500)
Ti (0.953, 0.453, 0.147)
Nb (0.250, 0.750, 0.500)
Nb (0.750, 0.250, 0.500)
Sb (0.142, 0.358, 0.500)
Sb (0.250, 0.250, 0.000)
Sb (0.358, 0.858, 0.216)
Sb (0.642, 0.142, 0.784)
Sb (0.750, 0.750, 0.000)
Sb (0.858, 0.642, 0.500)

=====

Entry 11:
## Y3InIr2 (PBE-GGA)

Data for an optimized crystal structure of Y3InIr2.

Calculated values
The density of states at the Fermi level is 5.12 states/eV per cell. The value obtained for the formation energy is -66.55 kJ per mole of atoms.

a b c (Å): 3.386 3.386 11.907
angles (deg): 90.00 90.00 90.00
Positions (direct):
Y (0.000, 0.000, 0.000)
Y (0.000, 0.000, 0.294)
Y (0.000, 0.000, 0.706)
In (0.500, 0.500, 0.500)
Ir (0.500, 0.500, 0.152)
Ir (0.500, 0.500, 0.848)

=====

Entry 12:
## PrDy10Ho4 (PBE-GGA)

Data for an optimized crystal structure of PrDy10Ho4.

Calculated values
The density of states at the Fermi level is 27.09 states/eV per cell. The value obtained for the formation energy is 46.25 kJ per mole of atoms.

a b c (Å): 8.761 8.761 8.761
angles (deg): 112.10 112.10 104.33
Positions (direct):
Pr (0.000, 0.000, 0.000)
Dy (0.048, 0.949, 0.658)
Dy (0.051, 0.709, 0.099)
Dy (0.250, 0.750, 0.500)
Dy (0.291, 0.390, 0.342)
Dy (0.390, 0.048, 0.099)
Dy (0.610, 0.952, 0.901)
Dy (0.709, 0.610, 0.658)
Dy (0.750, 0.250, 0.500)
Dy (0.949, 0.291, 0.901)
Dy (0.952, 0.051, 0.342)
Ho (0.212, 0.554, 0.766)
Ho (0.446, 0.212, 0.658)
Ho (0.554, 0.788, 0.342)
Ho (0.788, 0.446, 0.234)